Below is ReIrS3 after structural relaxation, with properties calculated at the PBE level.

```
ReIrS3
1.0
-0.5679 2.2037 3.9066
0.8178 -3.8209 2.2743
4.4101 0.9923 0.0813
S Ir Re
3 1 1
Direct
0.0000 0.0000 0.5000
0.5000 0.0000 0.0000
0.0000 0.5000 0.0000
0.0000 0.0000 0.0000
0.5000 0.5000 0.5000
```

Its excess energy over the best structure of this formula in the dataset is 0.325 eV/atom. The total energy comes out at -5.2646 eV/atom.